NdH2Cl4: relaxed, PBE.

```
NdH2Cl4
1.0
3.771 0.000 0.000
0.000 5.360 -1.569
0.000 -0.633 7.775
H Cl Nd
2 4 1
direct
0.500 0.895 0.790
0.500 0.105 0.210
0.000 0.107 0.214
0.500 0.633 0.266
0.500 0.367 0.734
0.000 0.893 0.786
0.000 0.500 0.000
```

Calculated values
- total DFT energy (no corrections) (eV per atom) = -3.57